*P*
## Ir2OsRh2 (PBE)

Data for Ir2OsRh2 after structural relaxation.

Cell lengths 7.4304, 7.4304, 2.7281 Å; angles 90.00, 90.00, 90.00 degrees
Last column: nearest neighbours and their distance in Å.
Fractional positions:
Rh  0.3772  0.8772  0.0000  6 Ir 2.52-2.63, 3 Rh 2.58-2.73
Rh  0.8772  0.6228  0.0000  6 Ir 2.52-2.63, 3 Rh 2.58-2.73
Rh  0.6228  0.1228  0.0000  6 Ir 2.52-2.63, 3 Rh 2.58-2.73
Rh  0.1228  0.3772  0.0000  6 Ir 2.52-2.63, 3 Rh 2.58-2.73
Ir  0.1758  0.6758  0.5000  6 Rh 2.52-2.63, 2 Ir 2.73
Ir  0.6758  0.8242  0.5000  6 Rh 2.52-2.63, 2 Ir 2.73
Ir  0.8242  0.3242  0.5000  6 Rh 2.52-2.63, 2 Ir 2.73
Ir  0.3242  0.1758  0.5000  6 Rh 2.52-2.63, 2 Ir 2.73
Os  0.0000  0.0000  0.0000  2 Os 2.73, 4 Rh 2.95
Os  0.5000  0.5000  0.0000  2 Os 2.73, 4 Rh 2.95

*Q*
## Ir2OsRh2 (PBE)

Data for Ir2OsRh2 after structural relaxation.

Cell lengths 2.7284, 3.8523, 7.2170 Å; angles 105.48, 100.85, 90.00 degrees
Last column: nearest neighbours and their distance in Å.
Fractional positions:
Ir  0.0977  0.0979  0.1959  3 Ir 2.67-2.73, 4 Os 2.71, 5 Rh 2.74-2.76
Ir  0.9023  0.9021  0.8041  3 Ir 2.67-2.73, 4 Os 2.71, 5 Rh 2.74-2.76
Os  0.5000  0.5000  0.0000  8 Ir 2.71, 2 Rh 2.73, 2 Os 2.73
Rh  0.6993  0.6998  0.3996  1 Os 2.73, 6 Rh 2.73, 5 Ir 2.74-2.76
Rh  0.3007  0.3002  0.6004  1 Os 2.73, 6 Rh 2.73, 5 Ir 2.74-2.76

*R*
## Ir2OsRh2 (PBE)

Data for Ir2OsRh2 after structural relaxation.

Cell lengths 3.5696, 3.5696, 6.8045 Å; angles 74.79, 74.79, 90.00 degrees
Last column: nearest neighbours and their distance in Å.
Fractional positions:
Rh  0.4022  0.4022  0.1957  1 Rh 2.47, 4 Ir 2.62
Rh  0.5978  0.5978  0.8043  1 Rh 2.47, 4 Ir 2.62
Ir  0.7500  0.2500  0.5000  4 Ir 2.52, 4 Rh 2.62
Ir  0.2500  0.7500  0.5000  4 Ir 2.52, 4 Rh 2.62
Os  0.0000  0.0000  0.0000  8 Rh 2.81

*S*
## Ir2OsRh2 (PBE)

Data for Ir2OsRh2 after structural relaxation.

Cell lengths 3.5429, 6.6187, 6.6187 Å; angles 90.00, 90.00, 90.00 degrees
Last column: nearest neighbours and their distance in Å.
Fractional positions:
Ir  0.0000  0.1315  0.6315  1 Ir 2.46, 2 Os 2.59, 6 Rh 2.59-2.66
Ir  0.0000  0.6315  0.8685  1 Ir 2.46, 2 Os 2.59, 6 Rh 2.59-2.66
Ir  0.0000  0.8685  0.3685  1 Ir 2.46, 2 Os 2.59, 6 Rh 2.59-2.66
Ir  0.0000  0.3685  0.1315  1 Ir 2.46, 2 Os 2.59, 6 Rh 2.59-2.66
Os  0.0000  0.0000  0.0000  4 Ir 2.59
Os  0.0000  0.5000  0.5000  4 Ir 2.59
Rh  0.5000  0.3337  0.8337  6 Ir 2.59-2.66
Rh  0.5000  0.8337  0.6663  6 Ir 2.59-2.66
Rh  0.5000  0.6663  0.1663  6 Ir 2.59-2.66
Rh  0.5000  0.1663  0.3337  6 Ir 2.59-2.66

Unit: eV/atom. Relative energies: *P* 0.535; *Q* 0.000; *R* 0.789; *S* 0.521.

*P*
## Ir2OsRh6 (PBE)

Data for Ir2OsRh6 after structural relaxation.

Cell lengths 2.7298, 2.7298, 20.1536 Å; angles 90.00, 90.00, 120.00 degrees
Last column: nearest neighbours and their distance in Å.
Fractional positions:
Ir  0.6667  0.3333  0.3294  6 Rh 2.69-2.73, 6 Ir 2.73
Ir  0.6667  0.3333  0.6706  6 Rh 2.69-2.73, 6 Ir 2.73
Os  0.3333  0.6667  0.0000  6 Rh 2.67, 6 Os 2.73
Rh  0.6667  0.3333  0.8931  3 Os 2.67, 9 Rh 2.73-2.75
Rh  0.3333  0.6667  0.4377  7 Rh 2.51-2.73, 3 Ir 2.69
Rh  0.3333  0.6667  0.7811  3 Ir 2.73, 9 Rh 2.73-2.75
Rh  0.3333  0.6667  0.2189  3 Ir 2.73, 9 Rh 2.73-2.75
Rh  0.3333  0.6667  0.5623  7 Rh 2.51-2.73, 3 Ir 2.69
Rh  0.6667  0.3333  0.1069  3 Os 2.67, 9 Rh 2.73-2.75

*Q*
## Ir2OsRh6 (PBE)

Data for Ir2OsRh6 after structural relaxation.

Cell lengths 4.4489, 4.5332, 8.1561 Å; angles 107.46, 90.00, 119.39 degrees
Last column: nearest neighbours and their distance in Å.
Fractional positions:
Ir  0.7021  0.4042  0.8998  9 Rh 2.63-2.90, 2 Ir 2.71
Ir  0.2979  0.5958  0.1002  9 Rh 2.63-2.90, 2 Ir 2.71
Os  0.0000  0.0000  0.5000  10 Rh 2.63-2.69
Rh  0.0030  0.0061  0.8232  5 Rh 2.61-2.90, 4 Ir 2.63-2.67, 1 Os 2.63
Rh  0.6894  0.3788  0.2306  6 Rh 2.61-2.75, 1 Os 2.67, 4 Ir 2.73-2.90
Rh  0.3106  0.6212  0.7694  6 Rh 2.61-2.75, 1 Os 2.67, 4 Ir 2.73-2.90
Rh  0.6882  0.3763  0.5635  3 Os 2.63-2.69, 7 Rh 2.65-2.79, 1 Ir 2.71
Rh  0.3118  0.6237  0.4365  3 Os 2.63-2.69, 7 Rh 2.65-2.79, 1 Ir 2.71
Rh  0.9970  0.9939  0.1768  5 Rh 2.61-2.90, 4 Ir 2.63-2.67, 1 Os 2.63

Unit: eV/atom. Relative energies: *P* 0.000; *Q* 0.152.

*P*
## Ir3Os2Rh3 (PBE)

Data for Ir3Os2Rh3 after structural relaxation.

Cell lengths 4.9301, 4.9301, 4.9301 Å; angles 85.78, 85.78, 94.22 degrees
Last column: nearest neighbours and their distance in Å.
Fractional positions:
Ir  0.2011  0.7989  0.5000  4 Rh 2.52-2.79, 2 Ir 2.66, 4 Os 2.70-2.76
Ir  0.5000  0.2011  0.2011  4 Rh 2.52-2.79, 2 Ir 2.66, 4 Os 2.70-2.76
Ir  0.7989  0.5000  0.7989  4 Rh 2.52-2.79, 2 Ir 2.66, 4 Os 2.70-2.76
Os  0.2810  0.2810  0.7190  6 Rh 2.69-2.96, 6 Ir 2.70-2.76
Os  0.7190  0.7190  0.2810  6 Rh 2.69-2.96, 6 Ir 2.70-2.76
Rh  0.2708  0.7292  0.0000  4 Ir 2.52-2.79, 2 Os 2.69, 2 Rh 2.74
Rh  0.0000  0.2708  0.2708  4 Ir 2.52-2.79, 2 Os 2.69, 2 Rh 2.74
Rh  0.7292  0.0000  0.7292  4 Ir 2.52-2.79, 2 Os 2.69, 2 Rh 2.74

*Q*
## Ir3Os2Rh3 (PBE)

Data for Ir3Os2Rh3 after structural relaxation.

Cell lengths 3.8708, 3.8538, 7.6825 Å; angles 90.00, 90.00, 90.00 degrees
Last column: nearest neighbours and their distance in Å.
Fractional positions:
Ir  0.5000  0.0000  0.5000  4 Rh 2.72, 4 Os 2.73, 4 Ir 2.73
Ir  0.0000  0.5000  0.0000  4 Os 2.72, 8 Rh 2.73
Ir  0.0000  0.5000  0.5000  4 Os 2.72, 4 Rh 2.72, 4 Ir 2.73
Os  0.0000  0.0000  0.7497  6 Ir 2.72-2.73, 6 Rh 2.73
Os  0.0000  0.0000  0.2503  6 Ir 2.72-2.73, 6 Rh 2.73
Rh  0.5000  0.5000  0.7492  6 Ir 2.72-2.73, 2 Rh 2.72, 4 Os 2.73
Rh  0.5000  0.5000  0.2508  6 Ir 2.72-2.73, 2 Rh 2.72, 4 Os 2.73
Rh  0.5000  0.0000  0.0000  4 Rh 2.72, 4 Os 2.73, 4 Ir 2.73

Unit: eV/atom. Relative energies: *P* 0.204; *Q* 0.000.

*P*
## IrOsRh6 (PBE)

Data for IrOsRh6 after structural relaxation.

Cell lengths 3.8450, 3.8450, 7.6899 Å; angles 90.00, 90.00, 90.00 degrees
Last column: nearest neighbours and their distance in Å.
Fractional positions:
Ir  0.0000  0.0000  0.0000  12 Rh 2.72-2.73
Os  0.0000  0.0000  0.5000  12 Rh 2.70-2.72
Rh  0.5000  0.5000  0.0000  4 Ir 2.72, 8 Rh 2.73
Rh  0.5000  0.5000  0.5000  8 Rh 2.70, 4 Os 2.72
Rh  0.5000  0.0000  0.2529  2 Os 2.70, 8 Rh 2.70-2.73, 2 Ir 2.73
Rh  0.5000  0.0000  0.7471  8 Rh 2.70-2.73, 2 Os 2.70, 2 Ir 2.73
Rh  0.0000  0.5000  0.2529  8 Rh 2.70-2.73, 2 Os 2.70, 2 Ir 2.73
Rh  0.0000  0.5000  0.7471  8 Rh 2.70-2.73, 2 Os 2.70, 2 Ir 2.73

*Q*
## IrOsRh6 (PBE)

Data for IrOsRh6 after structural relaxation.

Cell lengths 5.1477, 5.1477, 5.1477 Å; angles 89.38, 89.38, 89.38 degrees
Last column: nearest neighbours and their distance in Å.
Fractional positions:
Ir  0.5000  0.5000  0.5000  6 Rh 2.46
Os  0.0000  0.0000  0.0000  6 Rh 2.55
Rh  0.1655  0.5596  0.1655  1 Ir 2.46, 3 Rh 2.51-2.62, 1 Os 2.55
Rh  0.1655  0.1655  0.5596  1 Ir 2.46, 3 Rh 2.51-2.62, 1 Os 2.55
Rh  0.8345  0.4404  0.8345  1 Ir 2.46, 3 Rh 2.51-2.62, 1 Os 2.55
Rh  0.4404  0.8345  0.8345  1 Ir 2.46, 3 Rh 2.51-2.62, 1 Os 2.55
Rh  0.8345  0.8345  0.4404  1 Ir 2.46, 3 Rh 2.51-2.62, 1 Os 2.55
Rh  0.5596  0.1655  0.1655  1 Ir 2.46, 3 Rh 2.51-2.62, 1 Os 2.55

Unit: eV/atom. Relative energies: *P* 0.000; *Q* 0.826.

*P*
## Ir3Os2Rh2 (PBE)

Data for Ir3Os2Rh2 after structural relaxation.

Cell lengths 2.7202, 6.5802, 6.8126 Å; angles 114.23, 101.53, 101.94 degrees
Last column: nearest neighbours and their distance in Å.
Fractional positions:
Ir  0.5000  0.0000  0.0000  4 Ir 2.57-2.72, 4 Os 2.75, 2 Rh 2.88
Ir  0.1437  0.7162  0.5713  4 Ir 2.48-2.72, 3 Os 2.56-2.65
Ir  0.8563  0.2838  0.4287  4 Ir 2.48-2.72, 3 Os 2.56-2.65
Os  0.0909  0.8873  0.2941  5 Ir 2.56-2.75, 4 Os 2.72-2.79, 1 Rh 2.73
Os  0.9091  0.1127  0.7059  5 Ir 2.56-2.75, 4 Os 2.72-2.79, 1 Rh 2.73
Rh  0.7018  0.5569  0.8463  4 Rh 2.72-2.83, 3 Os 2.73-2.90, 6 Ir 2.84-2.88
Rh  0.2982  0.4431  0.1537  4 Rh 2.72-2.83, 3 Os 2.73-2.90, 6 Ir 2.84-2.88

*Q*
## Ir3Os2Rh2 (PBE)

Data for Ir3Os2Rh2 after structural relaxation.

Cell lengths 3.7844, 7.9179, 3.8742 Å; angles 75.85, 90.02, 103.88 degrees
Last column: nearest neighbours and their distance in Å.
Fractional positions:
Ir  0.0000  0.0000  0.0000  4 Rh 2.61-2.62, 4 Os 2.62
Ir  0.7464  0.4917  0.2542  4 Os 2.67-2.73, 4 Rh 2.68-2.80, 4 Ir 2.71
Ir  0.2536  0.5083  0.7458  4 Os 2.67-2.73, 4 Rh 2.68-2.80, 4 Ir 2.71
Os  0.6209  0.2438  0.8784  6 Ir 2.62-2.73, 4 Rh 2.71
Os  0.3791  0.7562  0.1216  6 Ir 2.62-2.73, 4 Rh 2.71
Rh  0.8824  0.7640  0.6181  6 Ir 2.61-2.80, 4 Os 2.71
Rh  0.1176  0.2360  0.3819  6 Ir 2.61-2.80, 4 Os 2.71

Unit: eV/atom. Relative energies: *P* 0.000; *Q* 0.185.